! Ti2AlTlV | Alexandria | GGA-PBE | relaxed; values from VASP
! M_tot: 1.4 μB/cell
! VASP energy: -22.844 eV/f.u.
! volume: 24.31 Å³ per atom
! density of states at the Fermi level: 7.85 states/eV per cell
! ΔE_f: 1.635 eV per atom
! space-group type: P4/mmm
&SYSTEM
  ibrav = 0, nat = 5, ntyp = 4
/
ATOMIC_SPECIES
Ti 47.87 Ti.upf
Al 26.98 Al.upf
Tl 204.38 Tl.upf
V 50.94 V.upf
ATOMIC_POSITIONS crystal
Ti 0.000 0.500 0.000
Ti 0.500 0.000 0.000
Al 0.000 0.000 0.500
Tl 0.000 0.000 0.000
V 0.500 0.500 0.500
CELL_PARAMETERS angstrom
5.064 0.000 0.000
0.000 5.064 0.000
0.000 0.000 4.740